# 1
Compound: InPSe2N
Source: the Alexandria database
Functional: PBE
Structure: relaxed Values from VASP.

The structure in Quantum ESPRESSO input format:
```
&SYSTEM
  ibrav = 0, nat = 5, ntyp = 4
/
ATOMIC_SPECIES
Se 78.96 Se.upf
N 14.01 N.upf
P 30.97 P.upf
In 114.82 In.upf
CELL_PARAMETERS angstrom
-3.161 -4.445 -0.007
4.422 -3.145 0.553
-0.343 0.238 4.099
ATOMIC_POSITIONS angstrom
Se -1.580 -2.223 -0.004
Se 2.211 -1.572 0.276
N -0.172 0.119 2.049
P 0.459 -3.676 2.322
In 0.000 0.000 0.000
```

Summary:
* formation energy without anion corrections: 1.260 eV per atom
* relative energy among the computed polymorphs: 892 meV/atom

# 2
Compound: Cs2LaNbBr6
Source: the Alexandria database
Functional: PBE
Structure: relaxed Values from VASP.

The structure in Quantum ESPRESSO input format:
```
&SYSTEM
  ibrav = 0, nat = 10, ntyp = 4
/
ATOMIC_SPECIES
Cs 132.91 Cs.upf
Br 79.90 Br.upf
Nb 92.91 Nb.upf
La 138.91 La.upf
CELL_PARAMETERS angstrom
-2.834 -4.419 -6.024
-5.413 -3.226 4.913
-7.766 0.296 -1.864
ATOMIC_POSITIONS angstrom
Cs -8.651 -3.377 1.247
Cs -7.362 -3.973 -4.222
Br -2.146 -1.990 -0.289
Br -4.742 -3.537 2.067
Br -5.870 -1.848 -1.183
Br -10.143 -5.502 -1.792
Br -6.101 -5.656 -0.822
Br -3.505 -4.109 -3.178
Nb -4.124 -3.823 -0.555
La 0.000 0.000 0.000
```

Summary:
* formation energy without anion corrections: -1.349 eV per atom

# 3
Compound: ReHgW2
Source: the Alexandria database
Functional: PBE
Structure: relaxed Values from VASP.

The structure in Quantum ESPRESSO input format:
```
&SYSTEM
  ibrav = 0, nat = 8, ntyp = 3
/
ATOMIC_SPECIES
Hg 200.59 Hg.upf
Re 186.21 Re.upf
W 183.84 W.upf
CELL_PARAMETERS angstrom
7.473 0.000 0.000
0.000 7.473 0.000
3.736 3.736 2.728
ATOMIC_POSITIONS angstrom
Hg 0.000 0.000 0.000
Hg 7.473 3.736 1.364
Re 3.736 7.473 1.364
Re 3.736 3.736 0.000
W 2.220 5.604 0.682
W 5.252 1.868 0.682
W 5.604 5.957 2.046
W 9.341 8.989 2.046
```

Summary:
* final energy: -8.54 eV/atom